Density functional theory data (SCAN) for a PBEsol-optimized structure of Zn2AgRh.

Summary:
Formation energy: -103 kJ/mol of formula units

a = 2.998 Å, b = 2.998 Å, c = 6.250 Å
α = 90.00°, β = 90.00°, γ = 90.00°
Fractional coordinates of all 4 atoms:
Rh (0.500, 0.500, 0.500)
Ag (0.500, 0.500, 0.000)
Zn (0.000, 0.000, 0.270)
Zn (0.000, 0.000, 0.730)

---

Density functional theory data (SCAN) for a PBEsol-optimized structure of Zn2AgRh.

Summary:
Formation energy: -102 kJ/mol of formula units

a = 3.463 Å, b = 4.010 Å, c = 4.010 Å
α = 90.00°, β = 90.00°, γ = 90.00°
Fractional coordinates of all 4 atoms:
Ag (0.500, 0.500, 0.500)
Zn (0.000, 0.000, 0.500)
Zn (0.000, 0.500, 0.000)
Rh (0.500, 0.000, 0.000)

---

no.,total DFT energy (no corrections) (eV per atom),M_tot (μB/f.u.)
1,-23.308,0.00
2,-23.306,0.00